(1)
DFT (PBE-GGA) results for a geometry-optimized Pr2SmSb structure.

```
Pr2SmSb
1.0
7.884 0.000 0.000
0.000 7.884 0.000
0.000 0.000 7.884
Pr Sm Sb
8 4 4
direct
0.250 0.250 0.250
0.250 0.250 0.750
0.250 0.750 0.250
0.250 0.750 0.750
0.750 0.250 0.250
0.750 0.250 0.750
0.750 0.750 0.250
0.750 0.750 0.750
0.000 0.000 0.000
0.000 0.500 0.500
0.500 0.000 0.500
0.500 0.500 0.000
0.000 0.000 0.500
0.000 0.500 0.000
0.500 0.000 0.000
0.500 0.500 0.500
```

Calculated values
Its energy above the most stable polymorph in this dataset is 231.7 meV/atom. Its uncorrected formation energy is -0.321 eV per atom.

***

(2)
DFT (PBE-GGA) results for a geometry-optimized Dy2Hg2Ru structure.

```
Dy2Hg2Ru
1.0
3.449 0.000 0.000
0.000 3.449 0.000
0.000 0.000 19.274
Dy Hg Ru
4 4 2
direct
0.000 0.000 0.086
0.000 0.000 0.914
0.500 0.500 0.414
0.500 0.500 0.586
0.000 0.000 0.302
0.000 0.000 0.698
0.500 0.500 0.198
0.500 0.500 0.802
0.000 0.000 0.500
0.500 0.500 0.000
```

Calculated values
Its formation energy is -2.004 eV per formula unit.

***

(3)
DFT (PBE-GGA) results for a geometry-optimized Al2Zn6Ga structure.

```
Al2Zn6Ga
1.0
5.372 -3.103 0.000
5.372 3.103 0.000
-0.003 0.000 4.683
Al Zn Ga
2 6 1
direct
0.167 0.167 0.322
0.833 0.833 0.678
0.117 0.692 0.178
0.308 0.883 0.822
0.309 0.309 0.823
0.691 0.691 0.177
0.692 0.117 0.178
0.883 0.308 0.822
0.500 0.500 0.500
```

Calculated values
Its formation energy is 1.586 eV per formula unit.

***

(4)
DFT (PBE-GGA) results for a geometry-optimized Cu2SiH structure.

```
Cu2SiH
1.0
4.818 0.000 0.000
0.000 4.818 0.000
0.000 0.000 8.173
Cu Si H
8 4 4
direct
0.131 0.250 0.125
0.250 0.631 0.375
0.250 0.869 0.875
0.369 0.250 0.625
0.631 0.750 0.625
0.750 0.131 0.875
0.750 0.369 0.375
0.869 0.750 0.125
0.000 0.000 0.500
0.000 0.500 0.750
0.500 0.000 0.250
0.500 0.500 0.000
0.000 0.000 0.000
0.000 0.500 0.250
0.500 0.000 0.750
0.500 0.500 0.500
```

Calculated values
Its energy above the most stable polymorph in this dataset is 0.0 meV/atom.

***

(5)
DFT (PBE-GGA) results for a geometry-optimized YbMg2H6 structure.

```
YbMg2H6
1.0
0.000 3.684 3.684
3.684 0.000 3.684
3.684 3.684 0.000
Yb Mg H
1 2 6
direct
0.000 0.000 0.000
0.250 0.250 0.250
0.750 0.750 0.750
0.275 0.275 0.725
0.275 0.725 0.275
0.275 0.725 0.725
0.725 0.275 0.275
0.725 0.275 0.725
0.725 0.725 0.275
```

***

(6)
DFT (PBE-GGA) results for a geometry-optimized Te2RhPb structure.

```
Te2RhPb
1.0
7.310 0.000 0.000
0.000 7.310 0.000
0.000 0.000 7.310
Te Rh Pb
8 4 4
direct
0.000 0.000 0.000
0.000 0.500 0.500
0.250 0.250 0.250
0.250 0.750 0.750
0.500 0.000 0.500
0.500 0.500 0.000
0.750 0.250 0.750
0.750 0.750 0.250
0.250 0.250 0.750
0.250 0.750 0.250
0.750 0.250 0.250
0.750 0.750 0.750
0.000 0.000 0.500
0.000 0.500 0.000
0.500 0.000 0.000
0.500 0.500 0.500
```

Calculated values
Its uncorrected formation energy is 0.370 eV per atom.

***

(7)
DFT (PBE-GGA) results for a geometry-optimized AlIn2O structure.

```
AlIn2O
1.0
4.867 0.000 0.000
-0.659 6.332 0.000
-1.933 -1.948 5.865
Al In O
2 4 2
direct
0.248 0.430 0.024
0.752 0.570 0.976
0.000 0.000 0.000
0.000 0.500 0.500
0.347 0.996 0.666
0.653 0.004 0.334
0.403 0.387 0.792
0.597 0.613 0.208
```

Calculated values
Its energy above the most stable polymorph in this dataset is 200.7 meV/atom. Its uncorrected formation energy is -0.775 eV per atom.

***

(8)
DFT (PBE-GGA) results for a geometry-optimized Ca2YAl structure.

```
Ca2YAl
1.0
7.767 0.000 0.000
0.000 7.767 0.000
0.000 0.000 7.767
Ca Y Al
8 4 4
direct
0.000 0.000 0.000
0.000 0.500 0.500
0.250 0.250 0.250
0.250 0.750 0.750
0.500 0.000 0.500
0.500 0.500 0.000
0.750 0.250 0.750
0.750 0.750 0.250
0.250 0.250 0.750
0.250 0.750 0.250
0.750 0.250 0.250
0.750 0.750 0.750
0.000 0.000 0.500
0.000 0.500 0.000
0.500 0.000 0.000
0.500 0.500 0.500
```

Calculated values
Its formation energy is -0.121 eV per formula unit.

***

Number 1: V 490.0 Å³ per cell, uncorrected energy -4.92 eV per atom. Number 2: V 229.2 Å³ per cell, uncorrected energy -4.22 eV per atom. Number 3: V 156.1 Å³ per cell, uncorrected energy -1.84 eV per atom. Number 4: V 189.7 Å³ per cell, uncorrected energy -3.95 eV per atom. Number 5: V 100.0 Å³ per cell, uncorrected energy -2.45 eV per atom. Number 6: V 390.5 Å³ per cell, uncorrected energy -3.97 eV per atom. Number 7: V 180.8 Å³ per cell, uncorrected energy -4.32 eV per atom. Number 8: V 468.5 Å³ per cell, uncorrected energy -3.58 eV per atom.